Compound: La2Ag2As
Source: the Alexandria database
Functional: GGA-PBE
Structure: relaxed

Results
energy of formation: -535 meV per atom
mass density: 7.25 g cm⁻³
E above lowest polymorph: 0 meV/atom
total magnetization: 0.000 μB/cell

Unit cell a=9.174 b=9.174 c=9.174 alpha=155.73 beta=155.73 gamma=34.58
Fractional positions:
La  0.097  0.097  0.000
La  0.903  0.903  0.000
Ag  0.250  0.750  0.500
Ag  0.750  0.250  0.500
As  0.500  0.500  0.000

Compound: LaAgAs
Source: the Alexandria database
Functional: GGA-PBE
Structure: relaxed

Results
energy of formation: -627 meV per atom
mass density: 6.66 g cm⁻³
total magnetization: 0.000 μB/cell

Unit cell a=4.842 b=4.842 c=4.842 alpha=60.00 beta=60.00 gamma=60.00
Fractional positions:
La  0.000  0.000  0.000
Ag  0.500  0.500  0.500
As  0.750  0.750  0.750

Compound: LaAgAs
Source: the Alexandria database
Functional: GGA-PBE
Structure: relaxed

Results
energy of formation: 15 meV per atom
mass density: 7.48 g cm⁻³
total magnetization: 0.001 μB/cell

Unit cell a=3.289 b=3.289 c=7.626 alpha=90.00 beta=90.00 gamma=120.00
Fractional positions:
La  0.000  0.000  0.000
Ag  0.667  0.333  0.367
As  0.333  0.667  0.665

Repeat the third record exactly.
Compound: LaAgAs
Source: the Alexandria database
Functional: GGA-PBE
Structure: relaxed

Results
energy of formation: 15 meV per atom
mass density: 7.48 g cm⁻³
total magnetization: 0.001 μB/cell

Unit cell a=3.289 b=3.289 c=7.626 alpha=90.00 beta=90.00 gamma=120.00
Fractional positions:
La  0.000  0.000  0.000
Ag  0.667  0.333  0.367
As  0.333  0.667  0.665